1.
The following is a PBE calculation of a relaxed Tb2ThTe5 crystal, from Alexandria.

Cell lengths 8.1642, 8.1642, 9.1929 Å; angles 116.36, 116.36, 90.00 degrees
Fractional positions:
Te  0.5000  0.5000  0.0000
Te  0.9879  0.4879  0.2996
Te  0.6883  0.1883  0.7004
Te  0.3117  0.8117  0.2996
Te  0.0000  0.0000  0.0000
Te  0.1883  0.0121  0.7004
Te  0.8117  0.9879  0.2996
Te  0.4879  0.3117  0.2996
Te  0.5121  0.6883  0.7004
Te  0.0121  0.5121  0.7004
Tb  0.3489  0.8489  0.0000
Tb  0.6511  0.1511  0.0000
Tb  0.8489  0.6511  0.0000
Tb  0.1511  0.3489  0.0000
Th  0.2500  0.2500  0.5000
Th  0.7500  0.7500  0.5000

Calculated values
Magnetic moment in μB/f.u.: 0.0
Energy relative to the elements, uncorrected in meV/atom: -1250.7
Electronic total energy in eV/cell: -84.79

2.
The following is a PBE calculation of a relaxed LaBePd2 crystal, from Alexandria.

Cell lengths 4.1494, 4.1494, 5.6800 Å; angles 68.58, 68.58, 60.00 degrees
Fractional positions:
Pd  0.7906  0.7906  0.6282
Pd  0.2094  0.2094  0.3718
Be  0.5000  0.5000  0.5000
La  0.0000  0.0000  0.0000

Calculated values
Energy of formation from the pure elements in eV/atom: -0.634
Magnetic moment in μB/f.u.: 0.0
Electronic total energy in eV/cell: -21.57

3.
The following is a PBE calculation of a relaxed Sc8Bi3Te4As crystal, from Alexandria.

Cell lengths 8.3527, 8.3401, 8.3531 Å; angles 120.04, 120.00, 90.00 degrees
Fractional positions:
Te  0.5000  0.0000  0.5000
Te  0.5000  0.0000  0.0000
Te  0.0000  0.0000  0.0000
Te  0.0000  0.0000  0.5000
Sc  0.7668  0.2668  0.9996
Sc  0.7499  0.7495  0.4999
Sc  0.2332  0.7332  0.0004
Sc  0.2330  0.7333  0.4660
Sc  0.7672  0.7332  0.0004
Sc  0.2501  0.2505  0.5001
Sc  0.2328  0.2668  0.9996
Sc  0.7670  0.2667  0.5340
Bi  0.5000  0.5000  0.5000
Bi  0.5000  0.5000  0.0000
Bi  0.0000  0.5000  0.5000
As  0.0000  0.5000  0.0000

Calculated values
Magnetic moment in μB/f.u.: 0.0
Energy relative to the elements, uncorrected in meV/atom: -986.7
Electronic total energy in eV/cell: -95.30

Q: What is the magnetic moment in the third record?
A: 0.0 μB/f.u.

Please write out number 3 again, unchanged.
The following is a PBE calculation of a relaxed Sc8Bi3Te4As crystal, from Alexandria.

Cell lengths 8.3527, 8.3401, 8.3531 Å; angles 120.04, 120.00, 90.00 degrees
Fractional positions:
Te  0.5000  0.0000  0.5000
Te  0.5000  0.0000  0.0000
Te  0.0000  0.0000  0.0000
Te  0.0000  0.0000  0.5000
Sc  0.7668  0.2668  0.9996
Sc  0.7499  0.7495  0.4999
Sc  0.2332  0.7332  0.0004
Sc  0.2330  0.7333  0.4660
Sc  0.7672  0.7332  0.0004
Sc  0.2501  0.2505  0.5001
Sc  0.2328  0.2668  0.9996
Sc  0.7670  0.2667  0.5340
Bi  0.5000  0.5000  0.5000
Bi  0.5000  0.5000  0.0000
Bi  0.0000  0.5000  0.5000
As  0.0000  0.5000  0.0000

Calculated values
Magnetic moment in μB/f.u.: 0.0
Energy relative to the elements, uncorrected in meV/atom: -986.7
Electronic total energy in eV/cell: -95.30